1.
Na3Np3AlTe8 | PBE-GGA | relaxed

Summary:
Space-group type: C2/m, No. 12
N(E_F): 22.03 states/eV/cell
Formation energy (no corrections): -0.677 eV/atom
Magnetic moment: 0.248 μB per atom

abc: 8.8319 8.8441 9.1122
angles: 118.93 90.00 119.96
Site moments in Bohr magnetons follow the coordinates.
Sites, in units of the cell vectors:
1 Te 0.7624 0.9894 0.7169  0.00
2 Te 0.2546 0.5091 0.2636  -0.03
3 Te 0.7706 0.5412 0.2825  -0.08
4 Te 0.2294 0.4588 0.7175  -0.08
5 Te 0.7730 0.0105 0.2831  0.00
6 Te 0.2270 0.9895 0.7169  0.00
7 Te 0.7454 0.4909 0.7364  -0.03
8 Te 0.2376 0.0106 0.2831  0.00
9 Np 0.5000 0.5000 0.5000  3.82
10 Np 0.5000 0.0000 0.5000  -3.79
11 Np 0.0000 0.5000 0.5000  3.82
12 Na 0.0000 0.0000 0.0000  0.00
13 Na 0.0000 0.5000 0.0000  0.00
14 Na 0.5000 0.5000 0.0000  0.00
15 Al 0.0000 0.0000 0.5000  0.01


2.
Na4Np3AlTe8 | PBE-GGA | relaxed

Summary:
Space-group type: C2/m, No. 12
N(E_F): 27.03 states/eV/cell
Formation energy (no corrections): -0.732 eV/atom
Magnetic moment: 0.728 μB per atom

abc: 8.8958 9.0341 8.9155
angles: 119.70 119.93 90.00
Site moments in Bohr magnetons follow the coordinates.
Sites, in units of the cell vectors:
1 Te 0.2318 0.7224 0.9905  -0.06
2 Te 0.2413 0.2776 0.0095  -0.06
3 Te 0.7683 0.2780 0.5367  -0.07
4 Te 0.7682 0.2776 0.0095  -0.06
5 Te 0.2317 0.7220 0.4633  -0.07
6 Te 0.2549 0.2642 0.5098  -0.09
7 Te 0.7451 0.7358 0.4902  -0.09
8 Te 0.7587 0.7224 0.9905  -0.06
9 Na 0.0000 0.0000 0.0000  0.00
10 Na 0.5000 0.0000 0.0000  0.00
11 Na 0.0000 0.0000 0.5000  0.00
12 Na 0.5000 0.0000 0.5000  0.00
13 Np 0.5000 0.5000 0.5000  3.93
14 Np 0.5000 0.5000 0.0000  3.93
15 Np 0.0000 0.5000 0.5000  3.93
16 Al 0.0000 0.5000 0.0000  0.04